The following is a PBE calculation of a relaxed structure of PmPaN, from the Alexandria database.

The space group is I4mm (No. 107) and the conventional cell measures 4.683, 4.683 and 8.064 Å, with angles of 90.00, 90.00 and 90.00 degrees. The distinct sites, in fractional coordinates, are Pm at (0.000, 0.000, 0.000), Pa at (0.000, 0.000, 0.485) and N at (0.000, 0.000, 0.725).

The calculation puts the density of states at the Fermi level at 11.59 states/eV per cell. The raw formation energy comes out at 0.393 eV/atom. The energy is -7.1312 eV per atom. The offset from the most stable computed form is 112.8 kJ/mol of atoms.

=====

The following is a PBE calculation of a relaxed structure of BaSm2VN4, from the Alexandria database.

The space group is Cmcm (No. 63) and the conventional cell measures 3.525, 12.573 and 12.047 Å, with angles of 90.00, 90.00 and 90.00 degrees. The distinct sites, in fractional coordinates, are Ba at (0.000, 0.088, 0.250), Sm at (0.000, 0.370, 0.041), V at (0.000, 0.179, 0.750), N at (0.000, 0.000, 0.000), N at (0.000, 0.257, 0.625) and N at (0.000, 0.394, 0.250).

The calculation puts the density of states at the Fermi level at 13.29 states/eV per cell. The raw formation energy comes out at -1.210 eV/atom. The energy is -7.9327 eV per atom.

=====

The following is a PBE calculation of a relaxed structure of CaNiHPt2, from the Alexandria database.

The space group is P4/mmm (No. 123) and the conventional cell measures 4.096, 4.096 and 4.064 Å, with angles of 90.00, 90.00 and 90.00 degrees. The distinct sites, in fractional coordinates, are Ca at (0.000, 0.000, 0.000), Ni at (0.500, 0.500, 0.000), H at (0.500, 0.500, 0.500) and Pt at (0.000, 0.500, 0.500).

The calculation puts the density of states at the Fermi level at 3.94 states/eV per cell. The energy is -4.9767 eV per atom.

=====

The following is a PBE calculation of a relaxed structure of LaZn2CoGe, from the Alexandria database.

The space group is P4/mmm (No. 123) and the conventional cell measures 4.633, 4.633 and 4.515 Å, with angles of 90.00, 90.00 and 90.00 degrees. The distinct sites, in fractional coordinates, are La at (0.000, 0.000, 0.000), Zn at (0.000, 0.500, 0.500), Co at (0.500, 0.500, 0.500) and Ge at (0.500, 0.500, 0.000).

The calculation puts the density of states at the Fermi level at 2.13 states/eV per cell. The calculation puts the energy relative to the elements at -0.3497 eV/atom. The energy is -4.1894 eV per atom.

=====

The following is a PBE calculation of a relaxed structure of LiGaNi6, from the Alexandria database.

The space group is Fmmm (No. 69) and the conventional cell measures 5.050, 7.014 and 10.146 Å, with angles of 90.00, 90.00 and 90.00 degrees. The distinct sites, in fractional coordinates, are Li at (0.000, 0.000, 0.000), Ga at (0.000, 0.000, 0.500), Ni at (0.000, 0.000, 0.252) and Ni at (0.250, 0.250, 0.128).

The calculation puts the density of states at the Fermi level at 42.44 states/eV per cell. The calculation puts the energy relative to the elements at -0.1291 eV/atom. The energy is -5.0826 eV per atom. The offset from the most stable computed form is 0.0 kJ/mol of atoms.

=====

The following is a PBE calculation of a relaxed structure of Mg3ZrCr, from the Alexandria database.

The space group is Pm-3m (No. 221) and the conventional cell measures 4.902, 4.902 and 4.902 Å, with angles of 90.00, 90.00 and 90.00 degrees. The distinct sites, in fractional coordinates, are Mg at (0.000, 0.000, 0.500), Zr at (0.500, 0.500, 0.500) and Cr at (0.000, 0.000, 0.000).

The calculation puts the density of states at the Fermi level at 2.52 states/eV per cell. The calculation puts the energy relative to the elements at 0.8391 eV/atom. The energy is -3.7520 eV per atom. The offset from the most stable computed form is 0.0 kJ/mol of atoms.

=====

The following is a PBE calculation of a relaxed structure of Ac2Sn3Pd2, from the Alexandria database.

The space group is Cmcm (No. 63) and the conventional cell measures 4.793, 20.588 and 7.617 Å, with angles of 90.00, 90.00 and 90.00 degrees. The distinct sites, in fractional coordinates, are Ac at (0.000, 0.047, 0.250), Ac at (0.000, 0.164, 0.750), Sn at (0.000, 0.217, 0.250), Sn at (0.000, 0.431, 0.058) and Pd at (0.000, 0.299, 0.549).

The calculation puts the density of states at the Fermi level at 14.41 states/eV per cell. The calculation puts the energy relative to the elements at -0.7540 eV/atom. The energy is -5.1270 eV per atom. The offset from the most stable computed form is 0.0 kJ/mol of atoms.

=====

The following is a PBE calculation of a relaxed structure of SrOs2Br, from the Alexandria database.

The space group is C2/m (No. 12) and the conventional cell measures 11.771, 3.864 and 4.675 Å, with angles of 90.00, 101.09 and 90.00 degrees. The distinct sites, in fractional coordinates, are Sr at (0.000, 0.000, 0.000), Os at (0.226, 0.500, 0.862) and Br at (0.000, 0.500, 0.500).

The calculation puts the density of states at the Fermi level at 6.89 states/eV per cell. The raw formation energy comes out at 0.453 eV/atom. The energy is -6.0005 eV per atom. The offset from the most stable computed form is 36.5 kJ/mol of atoms.